## Mg9Si5 (PBE-GGA)

Data for a relaxed structure of Mg9Si5.

abc: 5.842 7.411 14.085
angles: 95.03 98.38 109.58
Sites, in units of the cell vectors:
Mg: 0.000 0.000 0.000
Mg: 0.004 0.759 0.464
Mg: 0.039 0.316 0.166
Mg: 0.053 0.000 0.286
Mg: 0.080 0.434 0.618
Mg: 0.151 0.023 0.654
Mg: 0.167 0.735 0.122
Mg: 0.247 0.441 0.411
Mg: 0.359 0.395 0.826
Mg: 0.418 0.752 0.951
Mg: 0.431 0.136 0.492
Mg: 0.525 0.851 0.325
Mg: 0.552 0.841 0.589
Mg: 0.588 0.210 0.999
Mg: 0.599 0.555 0.140
Mg: 0.687 0.328 0.343
Mg: 0.781 0.123 0.799
Mg: 0.822 0.694 0.783
Si: 0.038 0.621 0.286
Si: 0.075 0.398 0.977
Si: 0.244 0.009 0.845
Si: 0.356 0.760 0.755
Si: 0.398 0.149 0.167
Si: 0.593 0.336 0.675
Si: 0.654 0.954 0.138
Si: 0.660 0.525 0.544
Si: 0.798 0.587 0.969
Si: 0.905 0.102 0.460

Calculated values
**Total magnetization**: 0.0 μB/f.u.
**Formation energy (no corrections)**: 3 meV/atom
**Symmetry**: P1, No. 1
**Energy relative to the lowest polymorph listed for this composition**: 1.64 eV per formula unit